# 1
## Ba3HfI (PBEsol)

Data for an optimized crystal structure of Ba3HfI.

The structure in POSCAR format:
```
Ba3HfI
1.0
6.124 0.000 0.000
0.000 6.124 0.000
0.000 0.000 6.124
Ba Hf I
3 1 1
direct
0.500 0.000 0.000 Ba
0.000 0.500 0.000 Ba
0.000 0.000 0.500 Ba
0.000 0.000 0.000 Hf
0.500 0.500 0.500 I
```

SG   Pm-3m (221)
Formation energy from raw total energies   0.347 eV/atom


# 2
## BaHfMn2I (PBEsol)

Data for an optimized crystal structure of BaHfMn2I.

The structure in POSCAR format:
```
BaHfMn2I
1.0
-4.248 -1.243 -2.009
-1.126 -2.568 3.971
-2.887 5.474 2.721
Mn I Hf Ba
2 1 1 1
direct
0.000 0.500 0.000 Mn
0.500 0.000 0.000 Mn
0.500 0.500 0.500 I
0.000 0.000 0.000 Hf
0.000 0.000 0.500 Ba
```

SG   P4/mmm (123)
Formation energy from raw total energies   0.908 eV/atom